The following is a GGA-PBE calculation of an optimized crystal structure of ZnTeIr, from Alexandria via LeMat-Bulk.

Values from the calculation:
ΔE_f (raw), eV per atom: 0.2596

Geometry as POSCAR:
```
ZnTeIr
1.0
4.8514 -0.0068 0.0019
2.1680 4.3401 -0.0019
-3.5103 -2.1657 2.5542
Ir Te Zn
1 1 1
Cartesian
0.0137 0.0084 0.0000 Ir
2.3623 1.4583 0.0000 Te
4.6434 2.8665 0.0000 Zn
```

The following is a GGA-PBE calculation of an optimized crystal structure of ZnTeIr3, from Alexandria via LeMat-Bulk.

Values from the calculation:
ΔE_f (raw), eV per atom: 1.3813

Geometry as POSCAR:
```
ZnTeIr3
1.0
4.5884 0.0000 0.0000
0.0000 4.5884 0.0000
0.0000 0.0000 4.5884
Zn Ir Te
1 3 1
Cartesian
0.0000 0.0000 0.0000 Zn
0.0000 2.2942 0.0000 Ir
0.0000 0.0000 2.2942 Ir
2.2942 0.0000 0.0000 Ir
2.2942 2.2942 2.2942 Te
```

The following is a GGA-PBE calculation of an optimized crystal structure of ZnTe3Ir, from Alexandria via LeMat-Bulk.

Values from the calculation:
ΔE_f (raw), eV per atom: 0.5774

Geometry as POSCAR:
```
ZnTe3Ir
1.0
-0.4669 -4.2422 3.1425
3.5958 2.0543 3.3074
-3.8654 2.4235 2.6972
Zn Ir Te
1 1 3
Cartesian
-0.3682 0.1178 4.5736 Zn
0.0000 0.0000 0.0000 Ir
1.7979 1.0272 1.6537 Te
-1.9327 1.2117 1.3486 Te
-0.2335 -2.1211 1.5713 Te
```